No. 1
SrCaRh2 | GGA-PBE | relaxed

Calculated values
* space-group type: No. 122
* raw total energy: -70.64 eV per cell

abc: 7.7201 7.7201 6.1721
angles: 90.00 90.00 90.00
Fractional coordinates of all 16 atoms:
Sr: 0.0000 0.0000 0.0000
Sr: 0.0000 0.5000 0.2500
Sr: 0.5000 0.0000 0.7500
Sr: 0.5000 0.5000 0.5000
Ca: 0.0000 0.0000 0.5000
Ca: 0.0000 0.5000 0.7500
Ca: 0.5000 0.0000 0.2500
Ca: 0.5000 0.5000 0.0000
Rh: 0.2370 0.2500 0.6250
Rh: 0.2500 0.7370 0.8750
Rh: 0.2500 0.7630 0.3750
Rh: 0.2630 0.2500 0.1250
Rh: 0.7370 0.7500 0.1250
Rh: 0.7500 0.2370 0.3750
Rh: 0.7500 0.2630 0.8750
Rh: 0.7630 0.7500 0.6250

No. 2
NaCrB14 | GGA-PBE | relaxed

Calculated values
* space-group type: No. 74
* raw total energy: -212.01 eV per cell

abc: 7.2586 7.2586 7.2586
angles: 132.23 88.36 110.88
Fractional coordinates of all 32 atoms:
Na: 0.4048 0.1548 0.2500
Na: 0.5952 0.8452 0.7500
Cr: 0.0000 0.0000 0.5000
Cr: 0.0000 0.5000 0.0000
B: 0.0254 0.8803 0.1451
B: 0.0367 0.2087 0.3332
B: 0.0367 0.7035 0.8280
B: 0.0775 0.6660 0.4115
B: 0.2014 0.5351 0.6664
B: 0.2232 0.5048 0.3998
B: 0.2232 0.8234 0.7184
B: 0.2352 0.8803 0.3549
B: 0.2456 0.3340 0.9115
B: 0.3687 0.5351 0.8336
B: 0.3755 0.2087 0.6720
B: 0.3755 0.7035 0.1668
B: 0.3950 0.1766 0.8998
B: 0.3950 0.4952 0.2184
B: 0.6050 0.5048 0.7816
B: 0.6050 0.8234 0.1002
B: 0.6245 0.2965 0.8332
B: 0.6245 0.7913 0.3280
B: 0.6313 0.4649 0.1664
B: 0.7544 0.6660 0.0885
B: 0.7648 0.1197 0.6451
B: 0.7768 0.1766 0.2816
B: 0.7768 0.4952 0.6002
B: 0.7986 0.4649 0.3336
B: 0.9225 0.3340 0.5885
B: 0.9633 0.2965 0.1720
B: 0.9633 0.7913 0.6668
B: 0.9746 0.1197 0.8549

No. 3
K3ScBi2 | GGA-PBE | relaxed

Calculated values
* space-group type: No. 72
* raw total energy: -40.87 eV per cell

abc: 9.8639 9.8639 9.8639
angles: 128.51 70.11 135.85
Fractional coordinates of all 12 atoms:
K: 0.1838 0.7004 0.8843
K: 0.2500 0.2500 0.0000
K: 0.3162 0.2004 0.5166
K: 0.6838 0.7996 0.4834
K: 0.7500 0.7500 0.0000
K: 0.8162 0.2996 0.1157
Sc: 0.2500 0.7500 0.5000
Sc: 0.7500 0.2500 0.5000
Bi: 0.0999 0.3052 0.4052
Bi: 0.4001 0.8052 0.2053
Bi: 0.5999 0.1948 0.7947
Bi: 0.9001 0.6948 0.5948

No. 4
SrMg2ZnIr | GGA-PBE | relaxed

Calculated values
* space-group type: No. 123
* raw total energy: -16.15 eV per cell

abc: 5.0150 5.0150 4.9854
angles: 90.00 90.00 90.00
Fractional coordinates of all 5 atoms:
Sr: 0.0000 0.0000 0.0000
Mg: 0.0000 0.5000 0.5000
Mg: 0.5000 0.0000 0.5000
Zn: 0.5000 0.5000 0.0000
Ir: 0.5000 0.5000 0.5000

No. 5
Os2Rh2O | GGA-PBE | relaxed

Calculated values
* space-group type: No. 127
* energy relative to the elements, uncorrected: 485.1 meV/atom

abc: 5.4670 5.4670 4.5893
angles: 90.00 90.00 90.00
Fractional coordinates of all 10 atoms:
Os: 0.1673 0.3327 0.0000
Os: 0.3327 0.8327 0.0000
Os: 0.6673 0.1673 0.0000
Os: 0.8327 0.6673 0.0000
Rh: 0.1702 0.6702 0.5000
Rh: 0.3298 0.1702 0.5000
Rh: 0.6702 0.8298 0.5000
Rh: 0.8298 0.3298 0.5000
O: 0.0000 0.0000 0.0000
O: 0.5000 0.5000 0.0000

No. 6
V5ZnCo8 | GGA-PBE | relaxed

Calculated values
* space-group type: No. 82
* raw total energy: -102.26 eV per cell

abc: 6.0812 6.0812 6.0812
angles: 113.00 113.00 102.62
Fractional coordinates of all 14 atoms:
V: 0.0000 0.0000 0.0000
V: 0.2976 0.2030 0.6278
V: 0.3302 0.7024 0.9055
V: 0.5752 0.6698 0.3722
V: 0.7970 0.4248 0.0945
Zn: 0.7500 0.2500 0.5000
Co: 0.0502 0.8100 0.6022
Co: 0.1026 0.3375 0.9156
Co: 0.1900 0.7922 0.2401
Co: 0.2078 0.4479 0.3978
Co: 0.4219 0.1870 0.0844
Co: 0.5521 0.9498 0.7599
Co: 0.6625 0.5781 0.7651
Co: 0.8130 0.8974 0.2349

No. 7
CeSi3Os5 | GGA-PBE | relaxed

Calculated values
* space-group type: No. 63
* energy relative to the elements, uncorrected: -223.4 meV/atom

abc: 6.6276 6.6276 11.9288
angles: 90.00 90.00 145.04
Fractional coordinates of all 18 atoms:
Ce: 0.1764 0.8236 0.7500
Ce: 0.8236 0.1764 0.2500
Si: 0.1254 0.8746 0.2500
Si: 0.3811 0.6189 0.0483
Si: 0.3811 0.6189 0.4517
Si: 0.6189 0.3811 0.5483
Si: 0.6189 0.3811 0.9517
Si: 0.8746 0.1254 0.7500
Os: 0.0000 0.0000 0.0000
Os: 0.0000 0.0000 0.5000
Os: 0.1976 0.8024 0.0663
Os: 0.1976 0.8024 0.4337
Os: 0.4485 0.5515 0.6482
Os: 0.4485 0.5515 0.8518
Os: 0.5515 0.4485 0.1482
Os: 0.5515 0.4485 0.3518
Os: 0.8024 0.1976 0.5663
Os: 0.8024 0.1976 0.9337

No. 8
WAu | GGA-PBE | relaxed

Calculated values
* space-group type: No. 216
* raw total energy: -49.31 eV per cell

abc: 5.8269 5.8269 5.8269
angles: 90.00 90.00 90.00
Fractional coordinates of all 8 atoms:
W: 0.0000 0.0000 0.0000
W: 0.0000 0.5000 0.5000
W: 0.5000 0.0000 0.5000
W: 0.5000 0.5000 0.0000
Au: 0.2500 0.2500 0.2500
Au: 0.2500 0.7500 0.7500
Au: 0.7500 0.2500 0.7500
Au: 0.7500 0.7500 0.2500

No. 9
LuCdCoNi | GGA-PBE | relaxed

Calculated values
* space-group type: No. 216
* raw total energy: -75.30 eV per cell

abc: 6.3756 6.3756 6.3756
angles: 90.00 90.00 90.00
Fractional coordinates of all 16 atoms:
Lu: 0.0000 0.0000 0.0000
Lu: 0.0000 0.5000 0.5000
Lu: 0.5000 0.0000 0.5000
Lu: 0.5000 0.5000 0.0000
Cd: 0.0000 0.0000 0.5000
Cd: 0.0000 0.5000 0.0000
Cd: 0.5000 0.0000 0.0000
Cd: 0.5000 0.5000 0.5000
Co: 0.2500 0.2500 0.2500
Co: 0.2500 0.7500 0.7500
Co: 0.7500 0.2500 0.7500
Co: 0.7500 0.7500 0.2500
Ni: 0.2500 0.2500 0.7500
Ni: 0.2500 0.7500 0.2500
Ni: 0.7500 0.2500 0.2500
Ni: 0.7500 0.7500 0.7500

No. 10
CsCrCl5 | GGA-PBE | relaxed

Calculated values
* space-group type: No. 44
* energy relative to the elements, uncorrected: -1187.4 meV/atom

abc: 7.6799 10.6006 7.0976
angles: 90.00 90.00 90.00
Fractional coordinates of all 14 atoms:
Cs: 0.0000 0.0000 0.0000
Cs: 0.5000 0.5000 0.5000
Cr: 0.0000 0.5000 0.7876
Cr: 0.5000 0.0000 0.2876
Cl: 0.0000 0.2838 0.7811
Cl: 0.0000 0.5000 0.4802
Cl: 0.0000 0.7162 0.7811
Cl: 0.2461 0.5000 0.9380
Cl: 0.2539 0.0000 0.4380
Cl: 0.5000 0.0000 0.9802
Cl: 0.5000 0.2162 0.2811
Cl: 0.5000 0.7838 0.2811
Cl: 0.7461 0.0000 0.4380
Cl: 0.7539 0.5000 0.9380

No. 11
Tb8Y3Er3 | GGA-PBE | relaxed

Calculated values
* space-group type: No. 71
* raw total energy: -68.66 eV per cell

abc: 9.6100 9.6100 9.6100
angles: 146.11 111.75 78.42
Fractional coordinates of all 14 atoms:
Tb: 0.0559 0.8965 0.1595
Tb: 0.0635 0.7221 0.3414
Tb: 0.2630 0.1035 0.1595
Tb: 0.3807 0.7221 0.6586
Tb: 0.6193 0.2779 0.3414
Tb: 0.7370 0.8965 0.8405
Tb: 0.9365 0.2779 0.6586
Tb: 0.9441 0.1035 0.8405
Y: 0.3197 0.3197 0.0000
Y: 0.5000 0.0000 0.5000
Y: 0.6803 0.6803 0.0000
Er: 0.0000 0.5000 0.5000
Er: 0.2962 0.5000 0.7962
Er: 0.7038 0.5000 0.2038

No. 12
SmHg2Pd2 | GGA-PBE | relaxed

Calculated values
* space-group type: No. 11
* raw total energy: -36.26 eV per cell

abc: 5.4698 4.6620 9.0918
angles: 90.00 106.86 90.00
Fractional coordinates of all 10 atoms:
Sm: 0.1443 0.2500 0.2702
Sm: 0.8557 0.7500 0.7298
Hg: 0.2178 0.2500 0.6337
Hg: 0.3847 0.7500 0.0643
Hg: 0.6153 0.2500 0.9357
Hg: 0.7822 0.7500 0.3663
Pd: 0.1053 0.2500 0.9253
Pd: 0.3417 0.7500 0.4862
Pd: 0.6583 0.2500 0.5138
Pd: 0.8947 0.7500 0.0747

No. 13
TbFe10Si2 | GGA-PBE | relaxed

Calculated values
* space-group type: No. 71
* energy relative to the elements, uncorrected: -243.9 meV/atom

abc: 6.3461 6.3461 6.3461
angles: 136.11 98.36 97.69
Fractional coordinates of all 13 atoms:
Tb: 0.0000 0.0000 0.0000
Fe: 0.0000 0.0000 0.5000
Fe: 0.0000 0.5000 0.0000
Fe: 0.2102 0.5000 0.7102
Fe: 0.3550 0.0000 0.3550
Fe: 0.3611 0.3611 0.0000
Fe: 0.5000 0.0000 0.0000
Fe: 0.5000 0.5000 0.5000
Fe: 0.6389 0.6389 0.0000
Fe: 0.6450 0.0000 0.6450
Fe: 0.7898 0.5000 0.2898
Si: 0.2353 0.7353 0.5000
Si: 0.7647 0.2647 0.5000

No. 14
YFe2Si | GGA-PBE | relaxed

Calculated values
* space-group type: No. 119
* energy relative to the elements, uncorrected: 30.6 meV/atom

abc: 4.4954 4.4954 6.3327
angles: 90.00 90.00 90.00
Fractional coordinates of all 8 atoms:
Y: 0.0000 0.0000 0.0000
Y: 0.5000 0.5000 0.5000
Fe: 0.0000 0.0000 0.5000
Fe: 0.0000 0.5000 0.2500
Fe: 0.5000 0.0000 0.7500
Fe: 0.5000 0.5000 0.0000
Si: 0.0000 0.5000 0.7500
Si: 0.5000 0.0000 0.2500

No. 15
PaPRhN | GGA-PBE | relaxed

Calculated values
* space-group type: No. 129
* energy relative to the elements, uncorrected: -1377.3 meV/atom

abc: 3.8998 3.8998 8.0948
angles: 90.00 90.00 90.00
Fractional coordinates of all 8 atoms:
Pa: 0.2500 0.2500 0.1487
Pa: 0.7500 0.7500 0.8513
P: 0.2500 0.2500 0.6684
P: 0.7500 0.7500 0.3316
Rh: 0.2500 0.7500 0.5000
Rh: 0.7500 0.2500 0.5000
N: 0.2500 0.7500 0.0000
N: 0.7500 0.2500 0.0000

Calculated values (Bohr magnetons per cell) of magnetic moment for the records, taken in order: 0.0; 5.7; 0.0; 0.0; 0.0; 0.0; 0.8; 0.0; 0.0; 4.0; 0.0; 0.0; 20.4; 10.0; 0.0.